B2AuI8 | GGA-PBE | relaxed

```
B2AuI8
1.0
6.061 -5.564 0.000
6.061 5.564 0.000
-4.730 0.000 9.026
B Au I
2 1 8
Cartesian
1.262 0.000 2.351
6.130 0.000 6.675
6.061 0.000 0.000
-0.863 0.000 2.259
2.350 1.829 2.384
0.174 0.000 6.757
2.350 -1.829 2.384
5.042 1.829 6.642
7.218 0.000 2.269
5.042 -1.829 6.642
8.255 0.000 6.768
```

Output
Excess energy over the best structure of this formula in the dataset, eV/atom: 0.025
Theoretical density, g/cm3: 3.37
Formation energy without anion corrections, eV per atom: 0.029



FeSb3 | GGA-PBE | relaxed

```
FeSb3
1.0
8.372 0.000 0.000
-4.186 7.251 0.000
0.000 0.000 5.023
Fe Sb
3 9
Cartesian
0.000 0.000 0.000
0.000 4.834 3.349
4.186 2.417 1.674
-2.093 3.625 0.000
0.000 2.417 1.674
-2.093 6.042 1.674
2.093 1.208 3.349
4.186 0.000 0.000
2.093 3.625 0.000
2.093 6.042 1.674
6.279 1.208 3.349
4.186 4.834 3.349
```

Output
Excess energy over the best structure of this formula in the dataset, eV/atom: 0.482
Theoretical density, g/cm3: 6.88
Formation energy without anion corrections, eV per atom: 0.456



BeTePb2 | GGA-PBE | relaxed

```
BeTePb2
1.0
3.285 0.000 0.000
0.000 3.285 0.000
0.000 0.000 9.776
Be Te Pb
1 1 2
Cartesian
0.000 0.000 0.000
0.000 0.000 4.888
1.643 1.643 1.793
1.643 1.643 7.982
```

Output
Excess energy over the best structure of this formula in the dataset, eV/atom: 0.195
Theoretical density, g/cm3: 8.67
Formation energy without anion corrections, eV per atom: 0.348



RbAcH6Pt2 | GGA-PBE | relaxed

```
RbAcH6Pt2
1.0
4.014 -5.392 0.000
4.014 5.392 0.000
-1.339 0.000 6.347
Rb Ac H Pt
2 2 12 4
Cartesian
3.010 5.088 4.760
3.679 -5.088 1.587
3.679 1.454 1.587
3.010 -1.454 4.760
1.322 3.171 5.394
1.734 0.648 3.279
1.633 0.815 5.547
2.403 -0.648 0.105
4.698 3.171 4.126
2.302 -0.815 2.374
4.387 0.815 3.973
1.991 -3.171 2.221
4.286 0.648 6.241
5.057 -0.815 0.800
4.955 -0.648 3.068
5.367 -3.171 0.953
1.530 1.923 4.302
2.199 -1.923 1.129
4.491 1.923 5.218
5.160 -1.923 2.044
```

Output
E_tot, eV per atom: -4.14
Theoretical density, g/cm3: 8.57



PmPuGaSi | GGA-PBE | relaxed

```
PmPuGaSi
1.0
7.162 0.000 0.000
0.000 7.162 0.000
0.000 0.000 7.162
Pm Pu Ga Si
4 4 4 4
Cartesian
0.000 0.000 0.000
0.000 3.581 3.581
3.581 0.000 3.581
3.581 3.581 0.000
0.000 0.000 3.581
0.000 3.581 0.000
3.581 0.000 0.000
3.581 3.581 3.581
1.791 1.791 5.372
1.791 5.372 1.791
5.372 1.791 1.791
5.372 5.372 5.372
1.791 1.791 1.791
1.791 5.372 5.372
5.372 1.791 5.372
5.372 5.372 1.791
```

Output
Theoretical density, g/cm3: 8.80
Formation energy without anion corrections, eV per atom: -0.360



Mg2CoSn | GGA-PBE | relaxed

```
Mg2CoSn
1.0
3.020 0.000 0.000
-1.510 2.615 0.000
0.000 0.000 32.040
Mg Co Sn
6 3 3
Cartesian
0.000 0.000 2.538
0.000 0.000 29.502
0.000 1.744 18.822
0.000 1.744 23.898
1.510 0.872 8.142
1.510 0.872 13.218
0.000 0.000 0.000
0.000 1.744 21.360
1.510 0.872 10.680
0.000 0.000 16.020
0.000 1.744 5.340
1.510 0.872 26.700
```

Output
Theoretical density, g/cm3: 4.45
Formation enthalpy at 0 K, eV per atom: 0.515



Tb2BeAlPd6 | GGA-PBE | relaxed

```
Tb2BeAlPd6
1.0
5.752 0.000 0.000
2.852 5.035 0.000
2.831 1.546 6.248
Tb Be Al Pd
2 1 1 6
Cartesian
2.654 1.517 1.250
8.781 5.064 4.998
5.717 3.291 3.124
0.000 0.000 0.000
3.970 4.020 2.038
4.505 2.575 4.737
5.969 5.199 4.146
5.465 1.382 2.101
6.930 4.007 1.511
7.465 2.562 4.210
```

Output
Theoretical density, g/cm3: 9.11
Formation enthalpy at 0 K, eV per atom: -0.718



NaSbTeI2 | GGA-PBE | relaxed

```
NaSbTeI2
1.0
5.590 0.000 0.000
0.000 5.590 0.000
0.000 0.000 5.821
Na Sb Te I
1 1 1 2
Cartesian
0.000 0.000 0.000
2.795 2.795 2.911
0.000 0.000 2.911
0.000 2.795 0.000
2.795 0.000 0.000
```

Output
Excess energy over the best structure of this formula in the dataset, eV/atom: 0.587
Theoretical density, g/cm3: 4.80
Formation energy without anion corrections, eV per atom: 0.295



PmInNi | GGA-PBE | relaxed

```
PmInNi
1.0
7.661 0.000 0.000
0.000 4.423 0.000
-2.544 0.000 8.472
Pm In Ni
4 4 4
Cartesian
1.279 0.000 2.078
0.007 2.211 6.394
5.109 2.211 2.078
3.837 0.000 6.394
-1.272 0.000 4.236
0.000 2.211 0.000
3.830 0.000 0.000
2.558 2.211 4.236
0.005 2.211 3.571
1.281 0.000 4.900
3.835 0.000 3.571
5.111 2.211 4.900
```

Output
Excess energy over the best structure of this formula in the dataset, eV/atom: 0.133
Theoretical density, g/cm3: 7.37
Formation enthalpy at 0 K, eV per atom: -0.333



TlRePb | GGA-PBE | relaxed

```
TlRePb
1.0
5.137 0.000 0.000
-2.568 4.448 0.000
0.000 0.000 2.938
Tl Re Pb
1 1 1
Cartesian
0.000 0.000 0.000
0.000 2.966 1.469
2.568 1.483 1.469
```

Output
Excess energy over the best structure of this formula in the dataset, eV/atom: 0.246
Theoretical density, g/cm3: 14.79
Formation enthalpy at 0 K, eV per atom: 1.146



Mg2NbTl | GGA-PBE | relaxed

```
Mg2NbTl
1.0
6.952 0.000 0.000
0.000 6.952 0.000
0.000 0.000 6.952
Mg Nb Tl
8 4 4
Cartesian
1.738 1.738 1.738
1.738 1.738 5.214
1.738 5.214 1.738
1.738 5.214 5.214
5.214 1.738 1.738
5.214 1.738 5.214
5.214 5.214 1.738
5.214 5.214 5.214
0.000 0.000 0.000
0.000 3.476 3.476
3.476 0.000 3.476
3.476 3.476 0.000
0.000 0.000 3.476
0.000 3.476 0.000
3.476 0.000 0.000
3.476 3.476 3.476
```

Output
Excess energy over the best structure of this formula in the dataset, eV/atom: 0.000
Theoretical density, g/cm3: 6.84
Formation enthalpy at 0 K, eV per atom: 0.454



BaCa2Ni | GGA-PBE | relaxed

```
BaCa2Ni
1.0
8.047 0.000 0.000
0.000 8.047 0.000
0.000 0.000 8.047
Ba Ca Ni
4 8 4
Cartesian
0.000 0.000 0.000
0.000 4.024 4.024
4.024 0.000 4.024
4.024 4.024 0.000
0.000 0.000 4.024
0.000 4.024 0.000
2.012 2.012 6.035
2.012 6.035 2.012
4.024 0.000 0.000
4.024 4.024 4.024
6.035 2.012 2.012
6.035 6.035 6.035
2.012 2.012 2.012
2.012 6.035 6.035
6.035 2.012 6.035
6.035 6.035 2.012
```

Output
Excess energy over the best structure of this formula in the dataset, eV/atom: 0.301
Theoretical density, g/cm3: 3.52
Formation enthalpy at 0 K, eV per atom: 0.340



TbDy2Pd2 | GGA-PBE | relaxed

```
TbDy2Pd2
1.0
6.643 0.000 0.000
0.000 6.600 0.000
-2.530 0.000 5.834
Tb Dy Pd
2 4 4
Cartesian
0.000 0.000 0.000
3.321 3.300 0.000
-1.265 1.679 2.917
-1.265 4.921 2.917
2.056 1.621 2.917
2.056 4.979 2.917
0.453 3.300 1.254
0.339 0.000 4.580
3.774 0.000 1.254
3.660 3.300 4.580
```

Output
Excess energy over the best structure of this formula in the dataset, eV/atom: 0.204
Theoretical density, g/cm3: 9.05
Formation enthalpy at 0 K, eV per atom: -0.522



TbDy2Ru3 | GGA-PBE | relaxed

```
TbDy2Ru3
1.0
4.802 0.000 0.000
0.000 14.425 0.000
0.000 0.000 3.413
Tb Dy Ru
2 4 6
Cartesian
0.000 0.000 0.000
2.401 7.212 0.000
0.000 4.805 0.000
0.000 9.620 0.000
2.401 2.408 0.000
2.401 12.017 0.000
0.000 2.409 1.707
0.000 7.212 1.707
0.000 12.015 1.707
2.401 0.000 1.707
2.401 4.803 1.707
2.401 9.622 1.707
```

Output
Excess energy over the best structure of this formula in the dataset, eV/atom: 0.004
Theoretical density, g/cm3: 11.06
Formation enthalpy at 0 K, eV per atom: -0.311



LaTb3Pd | GGA-PBE | relaxed

```
LaTb3Pd
1.0
5.522 0.000 0.000
0.000 5.522 0.000
0.000 0.000 5.522
La Tb Pd
1 3 1
Cartesian
0.000 0.000 0.000
0.000 2.761 2.761
2.761 0.000 2.761
2.761 2.761 0.000
2.761 2.761 2.761
```

Output
Theoretical density, g/cm3: 7.12
Formation enthalpy at 0 K, eV per atom: -0.177



Number 1: D(E_F) 9.65 states/eV/f.u.. Number 2: D(E_F) 6.15 states/eV/f.u.. Number 3: D(E_F) 1.10 states/eV/f.u.. Number 4: D(E_F) 0.33 states/eV/f.u.. Number 5: D(E_F) 8.77 states/eV/f.u.. Number 6: D(E_F) 3.72 states/eV/f.u.. Number 7: D(E_F) 2.93 states/eV/f.u.. Number 8: D(E_F) 7.52 states/eV/f.u.. Number 9: D(E_F) 2.51 states/eV/f.u.. Number 10: D(E_F) 2.02 states/eV/f.u.. Number 11: D(E_F) 1.61 states/eV/f.u.. Number 12: D(E_F) 6.44 states/eV/f.u.. Number 13: D(E_F) 5.33 states/eV/f.u.. Number 14: D(E_F) 6.37 states/eV/f.u.. Number 15: D(E_F) 10.03 states/eV/f.u..